[1]
Here is an optimized crystal structure of La2TbH from the Alexandria database. Energies are from GGA-PBE.

Output
Polymorph energy (0 for the lowest one): 0.0 kJ/mol of atoms

The structure in CIF format:
```
data_La2TbH
_cell_length_a 3.7134
_cell_length_b 3.7134
_cell_length_c 26.8285
_cell_angle_alpha 90.00
_cell_angle_beta 90.00
_cell_angle_gamma 120.00
_symmetry_space_group_name_H-M 'R 3 m'
_symmetry_Int_Tables_number 160
_symmetry_space_group_name_Hall 'R 3 -2"'
loop_
_atom_site_label
_atom_site_type_symbol
_atom_site_fract_x
_atom_site_fract_y
_atom_site_fract_z
La1 La 0.0000 0.0000 0.0000
La2 La 0.0000 0.0000 0.2207
Tb1 Tb 0.0000 0.0000 0.4452
H1 H 0.0000 0.0000 0.6114
```


[2]
Here is an optimized crystal structure of ScAlGa from the Alexandria database. Energies are from GGA-PBE.

Output
Electronic total energy: -4.81 eV per atom

The structure in CIF format:
```
data_ScAlGa
_cell_length_a 9.784
_cell_length_b 4.119
_cell_length_c 5.821
_cell_angle_alpha 90.00
_cell_angle_beta 110.85
_cell_angle_gamma 90.00
_symmetry_space_group_name_H-M 'C 1 m 1'
_symmetry_Int_Tables_number 8
loop_
_symmetry_equiv_pos_as_xyz
'x,y,z'
'x,-y,z'
'x+1/2,y+1/2,z'
'x+1/2,-y+1/2,z'
loop_
_atom_site_label
_atom_site_type_symbol
_atom_site_fract_x
_atom_site_fract_y
_atom_site_fract_z
Sc1 Sc 0.000 0.000 0.000
Sc2 Sc 0.201 0.500 0.368
Al1 Al 0.023 0.000 0.513
Al2 Al 0.351 0.000 0.182
Ga1 Ga 0.178 0.500 0.858
Ga2 Ga 0.354 0.000 0.679
```


[3]
Here is an optimized crystal structure of PmSmCu from the Alexandria database. Energies are from GGA-PBE.

Output
Polymorph energy (0 for the lowest one): 4.7 kJ/mol of atoms

The structure in CIF format:
```
data_PmSmCu
_cell_length_a 13.678
_cell_length_b 3.796
_cell_length_c 6.866
_cell_angle_alpha 90.00
_cell_angle_beta 112.96
_cell_angle_gamma 90.00
_symmetry_space_group_name_H-M 'C 1 m 1'
_symmetry_Int_Tables_number 8
loop_
_symmetry_equiv_pos_as_xyz
'x,y,z'
'x,-y,z'
'x+1/2,y+1/2,z'
'x+1/2,-y+1/2,z'
loop_
_atom_site_label
_atom_site_type_symbol
_atom_site_fract_x
_atom_site_fract_y
_atom_site_fract_z
Pm1 Pm 0.000 0.000 0.000
Pm2 Pm 0.226 0.500 0.979
Sm1 Sm 0.033 0.000 0.536
Sm2 Sm 0.306 0.000 0.552
Cu1 Cu 0.130 0.500 0.345
Cu2 Cu 0.403 0.000 0.194
```


no.,density of states at the Fermi level (states/eV/cell)
1,15.7
2,6.7
3,14.0